Arrangement one

First-principles (PBE) data for TiRe3Sb after structural relaxation, as listed in Alexandria.

Output
* space group: No. 221

Cell lengths 4.7751, 4.7751, 4.7751 Å; angles 90.00, 90.00, 90.00 degrees
Closest atoms and distances in Å follow each position.
Fractional positions:
1 Ti 0.0000 0.0000 0.0000  12 Re 3.38
2 Re 0.0000 0.5000 0.5000  2 Sb 2.39
3 Re 0.5000 0.0000 0.5000  2 Sb 2.39
4 Re 0.5000 0.5000 0.0000  2 Sb 2.39
5 Sb 0.5000 0.5000 0.5000  6 Re 2.39

Arrangement two

First-principles (PBE) data for TiRe3Sb after structural relaxation, as listed in Alexandria.

Output
* space group: No. 221

Cell lengths 4.6333, 4.6333, 4.6333 Å; angles 90.00, 90.00, 90.00 degrees
Closest atoms and distances in Å follow each position.
Fractional positions:
1 Ti 0.0000 0.0000 0.0000  6 Re 2.32
2 Re 0.0000 0.0000 0.5000  2 Ti 2.32
3 Re 0.0000 0.5000 0.0000  2 Ti 2.32
4 Re 0.5000 0.0000 0.0000  2 Ti 2.32
5 Sb 0.5000 0.5000 0.5000  12 Re 3.28

arrangement two wins, 0.480 eV/atom ahead of the next structure.

Arrangement one

First-principles (PBE) data for TlReSb after structural relaxation, as listed in Alexandria.

Output
* space group: No. 107

Cell lengths 7.2295, 7.2295, 7.2295 Å; angles 154.58, 154.58, 36.25 degrees
Closest atoms and distances in Å follow each position.
Fractional positions:
1 Tl 0.0000 0.0000 0.0000  4 Re 3.07, 4 Tl 3.18
2 Re 0.3480 0.3480 0.0000  4 Sb 2.77, 4 Tl 3.07
3 Sb 0.7308 0.7308 0.0000  4 Re 2.77

Arrangement two

First-principles (PBE) data for TlReSb after structural relaxation, as listed in Alexandria.

Output
* space group: No. 42

Cell lengths 8.5273, 8.2808, 3.0949 Å; angles 83.91, 74.93, 21.16 degrees
Closest atoms and distances in Å follow each position.
Fractional positions:
1 Tl 0.0000 0.0000 0.0000  2 Re 3.00, 6 Tl 3.09-3.30
2 Re 0.3454 0.3454 0.6546  2 Sb 2.66
3 Sb 0.7165 0.7165 0.2835  2 Re 2.66

Arrangement three

First-principles (PBE) data for TlReSb after structural relaxation, as listed in Alexandria.

Output
* space group: No. 156

Cell lengths 3.3148, 3.3148, 7.0218 Å; angles 90.00, 90.00, 120.00 degrees
Closest atoms and distances in Å follow each position.
Fractional positions:
1 Tl 0.0000 0.0000 0.0000  3 Re 2.96
2 Re 0.6667 0.3333 0.3207  3 Sb 2.67, 3 Tl 2.96
3 Sb 0.3333 0.6667 0.5860  3 Re 2.67

Arrangement four

First-principles (PBE) data for TlReSb after structural relaxation, as listed in Alexandria.

Output
* space group: No. 187

Cell lengths 5.0006, 5.0006, 2.9398 Å; angles 90.00, 90.00, 120.00 degrees
Closest atoms and distances in Å follow each position.
Fractional positions:
1 Tl 0.0000 0.0000 0.0000  2 Tl 2.94, 6 Sb 3.24, 6 Re 3.24
2 Re 0.3333 0.6667 0.5000  3 Sb 2.89, 2 Re 2.94
3 Sb 0.6667 0.3333 0.5000  3 Re 2.89, 2 Sb 2.94

arrangement three wins, 0.039 eV/atom ahead of the next structure.

Arrangement one

First-principles (PBE) data for TlRe2Sb2 after structural relaxation, as listed in Alexandria.

Output
* space group: No. 139

Cell lengths 5.8207, 5.8207, 5.8207 Å; angles 127.88, 127.88, 76.83 degrees
Closest atoms and distances in Å follow each position.
Fractional positions:
1 Tl 0.0000 0.0000 0.0000  8 Sb 3.43, 10 Re 3.43-3.79
2 Re 0.3757 0.3757 0.0000  1 Re 2.27
3 Re 0.6243 0.6243 0.0000  1 Re 2.27
4 Sb 0.2500 0.7500 0.5000  4 Re 2.80
5 Sb 0.7500 0.2500 0.5000  4 Re 2.80

Arrangement two

First-principles (PBE) data for TlRe2Sb2 after structural relaxation, as listed in Alexandria.

Output
* space group: No. 127

Cell lengths 7.9223, 7.9223, 3.1886 Å; angles 90.00, 90.00, 90.00 degrees
Closest atoms and distances in Å follow each position.
Fractional positions:
1 Tl 0.0000 0.0000 0.0000  4 Re 3.04, 2 Tl 3.19
2 Tl 0.5000 0.5000 0.0000  4 Re 3.04, 2 Tl 3.19
3 Re 0.1446 0.3554 0.0000  6 Sb 2.81-2.83, 2 Tl 3.04
4 Re 0.3554 0.8554 0.0000  6 Sb 2.81-2.83, 2 Tl 3.04
5 Re 0.6446 0.1446 0.0000  6 Sb 2.81-2.83, 2 Tl 3.04
6 Re 0.8554 0.6446 0.0000  6 Sb 2.81-2.83, 2 Tl 3.04
7 Sb 0.1470 0.6470 0.5000  6 Re 2.81-2.83
8 Sb 0.3530 0.1470 0.5000  6 Re 2.81-2.83
9 Sb 0.6470 0.8530 0.5000  6 Re 2.81-2.83
10 Sb 0.8530 0.3530 0.5000  6 Re 2.81-2.83

arrangement one wins, 0.052 eV/atom ahead of the next structure.